# TbNdSi4Ni2

Crystalline TbNdSi4Ni2 at its relaxed geometry (PBE, OQMD via LeMat-Bulk).

a b c (Å): 4.032 8.428 8.428
angles (deg): 28.02 90.00 90.00
Element x y z (fractional)
Si 0.000 0.961 0.961
Si 0.000 0.249 0.249
Si 0.500 0.748 0.748
Si 0.500 0.042 0.042
Ni 0.000 0.819 0.819
Ni 0.500 0.179 0.179
Nd 0.500 0.395 0.395
Tb 0.000 0.607 0.607

Calculated values
Magnetization: 0.001 μB per atom
VASP energy: -6.109 eV per atom
Crystal system: orthorhombic